No. 1
An optimized crystal structure of NaIn2BiSb, computed with PBE.

ΔE_f (raw)	0.5032	eV per atom

Unit cell a=5.4533 b=5.4533 c=5.6156 alpha=90.00 beta=90.00 gamma=90.00
Space group P4/mmm (No. 123)
Asymmetric unit:
Na 0.0000 0.0000 0.0000 [1 per cell]
In 0.0000 0.5000 0.0000 [2 per cell]
Bi 0.0000 0.0000 0.5000 [1 per cell]
Sb 0.5000 0.5000 0.5000 [1 per cell]

---

No. 2
An optimized crystal structure of Na2InBiSe, computed with PBE.

ΔE_f (raw)	0.2631	eV per atom

Unit cell a=5.7488 b=5.7488 c=5.6673 alpha=90.00 beta=90.00 gamma=90.00
Space group P4/mmm (No. 123)
Asymmetric unit:
Na 0.0000 0.5000 0.0000 [2 per cell]
In 0.0000 0.0000 0.0000 [1 per cell]
Bi 0.0000 0.0000 0.5000 [1 per cell]
Se 0.5000 0.5000 0.5000 [1 per cell]

---

No. 3
An optimized crystal structure of Na2InBiSe4, computed with PBE.

ΔE_f (raw)	-0.7620	eV per atom

Unit cell a=7.1744 b=4.1323 c=7.4885 alpha=90.00 beta=108.53 gamma=90.00
Space group P2/m (No. 10)
Asymmetric unit:
Na 0.0000 0.0000 0.0000 [1 per cell]
Na 0.5000 0.5000 0.0000 [1 per cell]
In 0.0000 0.5000 0.5000 [1 per cell]
Bi 0.5000 0.0000 0.5000 [1 per cell]
Se 0.2287 0.0000 0.7249 [2 per cell]
Se 0.2423 0.5000 0.2661 [2 per cell]

---

No. 4
An optimized crystal structure of NaSmInBi, computed with PBE.

formation enthalpy at 0 K	-317.9	meV/atom

Unit cell a=7.7562 b=7.7562 c=7.7562 alpha=90.00 beta=90.00 gamma=90.00
Space group F-43m (No. 216)
Asymmetric unit:
Na 0.0000 0.0000 0.0000 [4 per cell]
Sm 0.0000 0.0000 0.5000 [4 per cell]
In 0.2500 0.2500 0.2500 [4 per cell]
Bi 0.2500 0.2500 0.7500 [4 per cell]

---

No. 5
An optimized crystal structure of Na2SmInBi2, computed with PBE.

formation enthalpy at 0 K	-382.5	meV/atom

Unit cell a=5.1444 b=9.8406 c=6.9809 alpha=90.00 beta=90.00 gamma=90.00
Space group Pmc2_1 (No. 26)
Asymmetric unit:
Na 0.0000 0.0010 0.0000 [2 per cell]
Na 0.5000 0.1511 0.2520 [2 per cell]
Sm 0.5000 0.4987 0.9962 [2 per cell]
In 0.0000 0.3456 0.7413 [2 per cell]
Bi 0.0000 0.3347 0.2464 [2 per cell]
Bi 0.5000 0.1810 0.7502 [2 per cell]

---

No. 6
An optimized crystal structure of Na2In2SnBi2, computed with PBE.

formation enthalpy at 0 K	-71.2	meV/atom

Unit cell a=5.4844 b=5.4844 c=23.3955 alpha=90.00 beta=90.00 gamma=120.00
Space group R-3m (No. 166, hexagonal axes)
Asymmetric unit:
Na 0.0000 0.0000 0.1379 [6 per cell]
In 0.0000 0.0000 0.4293 [6 per cell]
Sn 0.0000 0.0000 0.0000 [3 per cell]
Bi 0.0000 0.0000 0.2792 [6 per cell]

---

Values of energy, in order: -2.46, -2.29, -3.66, -3.48, -3.36, -2.91, all in eV/atom.